Record 1
Here is crystalline NaCd2Pt at its relaxed geometry from Alexandria via LeMat-Bulk. Energies are from PBE-GGA.

As for the formation energy: -1.05 eV/f.u. For the density of states at the Fermi level, the calculation gives 0.395 states/eV per atom. The energy relative to the lowest polymorph listed for this composition comes out at 2 meV/atom.

The structure belongs to space group Fm-3m (No. 225); the cell edges are 6.7658, 6.7658 and 6.7658 Å and the angles 90.00°, 90.00° and 90.00°. The inequivalent atoms are Na at (0.0000, 0.0000, 0.0000), Cd at (0.2500, 0.2500, 0.2500) and Pt at (0.0000, 0.0000, 0.5000).

***

Record 2
Here is crystalline TeOs2Pt at its relaxed geometry from Alexandria via LeMat-Bulk. Energies are from PBE-GGA.

For the density of states at the Fermi level, the calculation gives 0.756 states/eV per atom. The value obtained for the formation energy without anion corrections is 0.538 eV per atom.

The structure belongs to space group Pmm2 (No. 25); the cell edges are 2.9142, 3.8412 and 6.1345 Å and the angles 90.00°, 90.00° and 90.00°. The inequivalent atoms are Te at (0.0000, 0.0000, 0.0000), Os at (0.0000, 0.0000, 0.4550), Os at (0.5000, 0.5000, 0.2677) and Pt at (0.5000, 0.5000, 0.6992).

***

Record 3
Here is crystalline AcCd10Ag2 at its relaxed geometry from Alexandria via LeMat-Bulk. Energies are from PBE-GGA.

As for the formation energy: -1.89 eV/f.u. For the density of states at the Fermi level, the calculation gives 0.431 states/eV per atom.

The structure belongs to space group Fmmm (No. 69); the cell edges are 5.7917, 14.3188 and 14.3946 Å and the angles 90.00°, 90.00° and 90.00°. The inequivalent atoms are Ac at (0.0000, 0.0000, 0.0000), Cd at (0.0000, 0.1111, 0.3934), Cd at (0.0000, 0.1803, 0.1728), Cd at (0.2500, 0.0000, 0.2500) and Ag at (0.2500, 0.2500, 0.0000).

***

Record 4
Here is crystalline SmMgHgPt at its relaxed geometry from Alexandria via LeMat-Bulk. Energies are from PBE-GGA.

As for the formation energy: -2.69 eV/f.u. For the density of states at the Fermi level, the calculation gives 0.718 states/eV per atom.

The structure belongs to space group F-43m (No. 216); the cell edges are 7.0352, 7.0352 and 7.0352 Å and the angles 90.00°, 90.00° and 90.00°. The inequivalent atoms are Sm at (0.0000, 0.0000, 0.0000), Mg at (0.0000, 0.0000, 0.5000), Hg at (0.2500, 0.2500, 0.2500) and Pt at (0.2500, 0.2500, 0.7500).

***

Record 5
Here is crystalline PaGeAsO6 at its relaxed geometry from Alexandria via LeMat-Bulk. Energies are from PBE-GGA.

For the density of states at the Fermi level, the calculation gives 0.000 states/eV per atom. The value obtained for the formation energy without anion corrections is -1.982 eV per atom.

The structure belongs to space group P-31c (No. 163); the cell edges are 5.3877, 5.3877 and 9.0643 Å and the angles 90.00°, 90.00° and 120.00°. The inequivalent atoms are Pa at (0.3333, 0.6667, 0.2500), Ge at (0.3333, 0.6667, 0.7500), As at (0.0000, 0.0000, 0.0000) and O at (0.0352, 0.3618, 0.6315).

***

Record 6
Here is crystalline Li2Ca3Pb4 at its relaxed geometry from Alexandria via LeMat-Bulk. Energies are from PBE-GGA.

As for the formation energy: -3.77 eV/f.u. For the density of states at the Fermi level, the calculation gives 0.320 states/eV per atom. The energy relative to the lowest polymorph listed for this composition comes out at 0 meV/atom.

The structure belongs to space group C2/m (No. 12); the cell edges are 10.6568, 4.9478 and 9.3948 Å and the angles 90.00°, 91.39° and 90.00°. The inequivalent atoms are Li at (0.2332, 0.0000, 0.4107), Ca at (0.0000, 0.5000, 0.0000), Ca at (0.1039, 0.0000, 0.7369), Pb at (0.0885, 0.5000, 0.3570) and Pb at (0.1952, 0.0000, 0.1069).